Computed, not measured: a relaxed AcPm2Nd3S6 crystal at the PBE-GGA level of DFT.

Computed properties:
For the uncorrected formation energy, the calculation gives -2.0172 eV per atom.

Cell lengths 7.1104, 7.1104, 7.0921 Å; angles 99.64, 99.64, 120.14 degrees
Positions (direct):
Ac 0.0000 0.0000 0.0000
Pm 0.3327 0.6673 0.0000
Pm 0.6673 0.3327 0.0000
Nd 0.1642 0.8358 0.5000
Nd 0.8358 0.1642 0.5000
Nd 0.5000 0.5000 0.5000
S 0.9151 0.5729 0.7463
S 0.7405 0.7405 0.2501
S 0.0849 0.4271 0.2537
S 0.5729 0.9151 0.7463
S 0.2595 0.2595 0.7499
S 0.4271 0.0849 0.2537

=====

Computed, not measured: a relaxed HfTi3Sn3 crystal at the PBE-GGA level of DFT.

Computed properties:
The uncorrected energy is -93.82 eV/cell.

Cell lengths 5.0017, 8.0691, 8.0691 Å; angles 120.00, 90.00, 90.00 degrees
Positions (direct):
Hf 0.2500 0.6667 0.3333
Hf 0.7500 0.3333 0.6667
Ti 0.2500 0.8029 0.7737
Ti 0.2500 0.2263 0.0292
Ti 0.2500 0.9708 0.1971
Ti 0.7500 0.1971 0.2263
Ti 0.7500 0.7737 0.9708
Ti 0.7500 0.0292 0.8029
Sn 0.7500 0.6353 0.5592
Sn 0.7500 0.4408 0.0761
Sn 0.7500 0.9239 0.3647
Sn 0.2500 0.3647 0.4408
Sn 0.2500 0.5592 0.9239
Sn 0.2500 0.0761 0.6353